Entry 1:
# CaEuSi PBE-GGA relaxed
# Formation energy (no corrections): -0.409 eV/atom
data_CaEuSi
_chemical_formula_sum 'Ca4 Eu4 Si4'
_cell_length_a 7.248
_cell_length_b 7.248
_cell_length_c 7.248
_cell_angle_alpha 90.00
_cell_angle_beta 90.00
_cell_angle_gamma 90.00
_symmetry_space_group_name_H-M 'F -4 3 m'
_symmetry_Int_Tables_number 216
_symmetry_space_group_name_Hall 'F -4 2 3'
loop_
_atom_site_label
_atom_site_fract_x
_atom_site_fract_y
_atom_site_fract_z
Ca1 0.000 0.000 0.000
Eu1 0.000 0.000 0.500
Si1 0.250 0.250 0.750

---

Entry 2:
# LaScIn4 PBE-GGA relaxed
# Calculated total energy: -4.000 eV per atom
data_LaScIn4
_chemical_formula_sum 'La4 Sc4 In16'
_cell_length_a 8.531
_cell_length_b 8.531
_cell_length_c 8.531
_cell_angle_alpha 90.00
_cell_angle_beta 90.00
_cell_angle_gamma 90.00
_symmetry_space_group_name_H-M 'F -4 3 m'
_symmetry_Int_Tables_number 216
_symmetry_space_group_name_Hall 'F -4 2 3'
loop_
_atom_site_label
_atom_site_fract_x
_atom_site_fract_y
_atom_site_fract_z
La1 0.000 0.000 0.000
Sc1 0.250 0.250 0.750
In1 0.125 0.125 0.375

---

Entry 3:
# BN PBE-GGA relaxed
# Energy relative to the lowest polymorph listed for this composition: 0.484 eV/atom
# Formation energy (no corrections): -0.802 eV/atom
data_BN
_chemical_formula_sum 'B16 N16'
_cell_length_a 5.017
_cell_length_b 6.869
_cell_length_c 7.051
_cell_angle_alpha 90.00
_cell_angle_beta 90.00
_cell_angle_gamma 90.00
_symmetry_space_group_name_H-M 'F d d d'
_symmetry_Int_Tables_number 70
loop_
_symmetry_equiv_pos_as_xyz
'x,y,z'
'-x,-y,-z'
'-x+1/4,-y+1/4,z'
'x+1/4,y+1/4,-z'
'x,-y+1/4,-z+1/4'
'-x,y+1/4,z+1/4'
'-x+1/4,y,-z+1/4'
'x+1/4,-y,z+1/4'
'x,y+1/2,z+1/2'
'-x,-y+1/2,-z+1/2'
'-x+1/4,-y+3/4,z+1/2'
'x+1/4,y+3/4,-z+1/2'
'x,-y+3/4,-z+3/4'
'-x,y+3/4,z+3/4'
'-x+1/4,y+1/2,-z+3/4'
'x+1/4,-y+1/2,z+3/4'
'x+1/2,y,z+1/2'
'-x+1/2,-y,-z+1/2'
'-x+3/4,-y+1/4,z+1/2'
'x+3/4,y+1/4,-z+1/2'
'x+1/2,-y+1/4,-z+3/4'
'-x+1/2,y+1/4,z+3/4'
'-x+3/4,y,-z+3/4'
'x+3/4,-y,z+3/4'
'x+1/2,y+1/2,z'
'-x+1/2,-y+1/2,-z'
'-x+3/4,-y+3/4,z'
'x+3/4,y+3/4,-z'
'x+1/2,-y+3/4,-z+1/4'
'-x+1/2,y+3/4,z+1/4'
'-x+3/4,y+1/2,-z+1/4'
'x+3/4,-y+1/2,z+1/4'
loop_
_atom_site_label
_atom_site_fract_x
_atom_site_fract_y
_atom_site_fract_z
B1 0.125 0.125 0.275
N1 0.125 0.302 0.125

---

Going through the records in order, we get density values of 3839 6881 2714 kg/m3.